(1)
# BaSrCa2Cl8

An optimized crystal structure of BaSrCa2Cl8 (PBE-GGA, the Alexandria database).

The calculation puts the formation energy from raw total energies at -2804 kJ/mol of formula units.

The structure belongs to space group P2/m (No. 10); the cell edges are 6.712, 8.826 and 6.740 Å and the angles 90.00°, 90.30° and 90.00°. Symmetry generates all atoms from Ba at (0.000, 0.000, 0.000), Sr at (0.000, 0.500, 0.000), Ca at (0.500, 0.254, 0.500), Cl at (0.217, 0.263, 0.203), Cl at (0.306, 0.500, 0.684) and Cl at (0.315, 0.000, 0.672).

=====

(2)
# Ac3ZrPd12

An optimized crystal structure of Ac3ZrPd12 (PBE-GGA, the Alexandria database).

The calculation puts the formation energy at -745 meV/atom.

The structure belongs to space group P4/mmm (No. 123); the cell edges are 4.247, 4.247 and 16.960 Å and the angles 90.00°, 90.00° and 90.00°. Symmetry generates all atoms from Ac at (0.000, 0.000, 0.000), Ac at (0.000, 0.000, 0.257), Zr at (0.000, 0.000, 0.500), Pd at (0.000, 0.500, 0.130), Pd at (0.000, 0.500, 0.390), Pd at (0.500, 0.500, 0.000), Pd at (0.500, 0.500, 0.260) and Pd at (0.500, 0.500, 0.500).

=====

(3)
# Sr3SnN

An optimized crystal structure of Sr3SnN (PBE-GGA, the Alexandria database).

The calculation puts the formation energy from raw total energies at -238 kJ/mol of formula units.

The structure belongs to space group R-3 (No. 148, hexagonal axes); the cell edges are 7.0867, 7.0867 and 22.5160 Å and the angles 90.00°, 90.00° and 120.00°. Symmetry generates all atoms from Sr at (0.0067, 0.6042, 0.4320), Sn at (0.0000, 0.0000, 0.3540) and N at (0.0000, 0.0000, 0.1630).

=====

(4)
# CaSiSnS4

An optimized crystal structure of CaSiSnS4 (PBE-GGA, the Alexandria database).

The calculation puts the formation energy from raw total energies at -667 kJ/mol of formula units.

The structure belongs to space group P2_1/m (No. 11); the cell edges are 6.684, 6.550 and 7.985 Å and the angles 90.00°, 108.00° and 90.00°. Symmetry generates all atoms from Ca at (0.242, 0.250, 0.066), Si at (0.238, 0.750, 0.807), Sn at (0.240, 0.250, 0.598), S at (0.021, 0.002, 0.758), S at (0.412, 0.750, 0.081) and S at (0.414, 0.750, 0.631).

=====

(5)
# Mg2NbF

An optimized crystal structure of Mg2NbF (PBE-GGA, the Alexandria database).

The calculation puts the formation energy from raw total energies at 102 kJ/mol of formula units. Its energy above the most stable polymorph in this dataset is 0.7386 eV per atom.

The structure belongs to space group Fm-3m (No. 225); the cell edges are 6.742, 6.742 and 6.742 Å and the angles 90.00°, 90.00° and 90.00°. Symmetry generates all atoms from Mg at (0.250, 0.250, 0.250), Nb at (0.000, 0.000, 0.000) and F at (0.000, 0.000, 0.500).

=====

(6)
# Be5As

An optimized crystal structure of Be5As (PBE-GGA, the Alexandria database).

Its energy above the most stable polymorph in this dataset is 0.0432 eV per atom. The calculation puts the formation energy at 334 meV/atom.

The structure belongs to space group Cmmm (No. 65); the cell edges are 3.410, 10.624 and 3.384 Å and the angles 90.00°, 90.00° and 90.00°. Symmetry generates all atoms from Be at (0.000, 0.000, 0.000), Be at (0.000, 0.181, 0.500), Be at (0.000, 0.316, 0.000) and As at (0.000, 0.500, 0.500).

=====

(7)
# PmNb6Se8

An optimized crystal structure of PmNb6Se8 (PBE-GGA, the Alexandria database).

The calculation puts the formation energy from raw total energies at -1254 kJ/mol of formula units.

The structure belongs to space group R-3 (No. 148, hexagonal axes); the cell edges are 9.5008, 9.5008 and 12.5491 Å and the angles 90.00°, 90.00° and 120.00°. Symmetry generates all atoms from Pm at (0.0000, 0.0000, 0.0000), Nb at (0.0224, 0.8398, 0.3919), Se at (0.0000, 0.0000, 0.2323) and Se at (0.0070, 0.3727, 0.7605).

=====

(8)
# AcLaSiCl

An optimized crystal structure of AcLaSiCl (PBE-GGA, the Alexandria database).

The calculation puts the formation energy from raw total energies at -346 kJ/mol of formula units. Its energy above the most stable polymorph in this dataset is 0.1378 eV per atom.

The structure belongs to space group Amm2 (No. 38); the cell edges are 6.158, 5.138 and 9.070 Å and the angles 90.00°, 90.00° and 90.00°. Symmetry generates all atoms from Ac at (0.000, 0.000, 0.000), La at (0.500, 0.000, 0.329), Si at (0.500, 0.000, 0.999) and Cl at (0.000, 0.000, 0.330).

=====

How do the records compare in DFT total energy? In the order shown, they have -4.287 -5.945 -3.969 -4.978 -3.518 -3.546 -7.070 -4.973 eV per atom.